# 1
The following is a DFT calculation (PBE-GGA) of crystalline PrY3Tm4 at its relaxed geometry.

Cell and atoms, written as extended XYZ:
```
16
Lattice="-4.4600 4.3777 0.3516 -1.9782 -1.4662 -6.8368 -7.2740 -7.7126 3.7587" Properties=species:S:1:pos:R:3 pbc="T T T"
Pr -1.3826 0.0908 -2.4894
Pr -7.7576 -1.9533 -2.1902
Y -4.1166 1.8983 -4.0714
Y -7.4405 1.4539 -3.0120
Y -4.7077 -0.3638 -1.4305
Y -5.0146 -3.7696 -0.6089
Y -8.3398 -4.2149 0.4463
Y -11.0824 -2.4076 -1.1301
Tm -2.4045 -0.6358 -5.9579
Tm -3.1374 2.6655 -0.6021
Tm -6.4461 2.1771 0.4596
Tm -5.6910 -1.0979 -4.9029
Tm -6.0419 -4.4896 -4.0744
Tm -6.7716 -1.1914 1.2811
Tm -9.3504 -4.9780 -3.0120
Tm -10.0607 -1.6555 2.3273
```

Results
For the formation energy from the elements, the calculation gives 0.01 eV/atom. The value obtained for the energy above the most stable polymorph in this dataset is 0.000 eV per atom.

***

# 2
The following is a DFT calculation (PBE-GGA) of crystalline Pr4YTm6 at its relaxed geometry.

Cell and atoms, written as extended XYZ:
```
11
Lattice="7.7331 0.0000 0.0000 0.0000 7.7331 0.0000 -3.8665 -3.8665 6.5226" Properties=species:S:1:pos:R:3 pbc="T T T"
Pr -2.5014 2.5014 5.5156
Pr 6.3679 6.3679 1.0070
Pr 2.5014 -2.5014 5.5156
Pr 1.3652 1.3652 1.0070
Y 3.8665 3.8665 0.0000
Tm 5.7721 1.9610 2.3591
Tm 1.9610 5.7721 2.3591
Tm 1.9056 1.9056 4.1634
Tm 0.0000 3.8665 0.0000
Tm -1.9056 -1.9056 4.1634
Tm 3.8665 0.0000 0.0000
```

Results
For the formation energy from the elements, the calculation gives 0.47 eV/atom. The value obtained for the energy above the most stable polymorph in this dataset is 0.174 eV per atom.

***

# 3
The following is a DFT calculation (PBE-GGA) of crystalline PrY3Tm5 at its relaxed geometry.

Cell and atoms, written as extended XYZ:
```
18
Lattice="-3.4289 -3.8874 3.0278 8.3870 1.3389 5.2662 -7.5719 8.1555 1.8957" Properties=species:S:1:pos:R:3 pbc="T T T"
Pr -8.7807 2.6002 4.1606
Pr -2.2202 1.6680 0.7628
Y 0.0000 0.0000 0.0000
Y -1.1704 1.8210 3.8162
Y -3.7860 4.0777 0.9478
Y -1.4434 3.7860 6.3734
Y -6.7698 3.8429 6.3654
Y 4.1560 1.7641 3.8243
Tm -7.0820 4.5260 2.6606
Tm -3.7983 6.5431 7.0543
Tm -1.8577 -1.4899 4.8240
Tm 1.1845 -0.9361 3.1353
Tm 1.3648 1.1314 5.8881
Tm -3.9189 -0.2579 2.2628
Tm 1.6905 4.3958 4.6029
Tm -4.3043 1.2112 5.5867
Tm -3.9786 4.4755 4.3016
Tm -0.7561 7.0969 5.3656
```

Results
For the formation energy from the elements, the calculation gives 0.35 eV/atom. The value obtained for the energy above the most stable polymorph in this dataset is 0.000 eV per atom.

***

# 4
The following is a DFT calculation (PBE-GGA) of crystalline Pr7Y16Tm6 at its relaxed geometry.

Cell and atoms, written as extended XYZ:
```
29
Lattice="-9.6427 5.5073 -0.0704 -5.7702 1.2132 9.4102 -0.7304 9.9785 4.8180" Properties=species:S:1:pos:R:3 pbc="T T T"
Pr 0.0000 0.0000 0.0000
Pr -5.1866 7.7429 2.3738
Pr -2.8851 0.6066 4.7051
Pr -3.2503 5.5959 7.1141
Pr -4.8214 2.7537 -0.0352
Pr -0.3652 4.9893 2.4090
Pr -7.7065 3.3603 4.6699
Y -13.4310 10.2005 10.1064
Y -13.7235 14.1958 12.0355
Y -11.4131 13.7101 8.2677
Y -9.8625 11.9907 12.0637
Y -2.4199 2.5032 2.1223
Y -2.7124 6.4986 4.0514
Y -4.7303 2.9890 5.8901
Y -6.2808 4.7083 2.0941
Y -9.5580 5.7398 6.5040
Y -9.8864 10.2267 8.6704
Y -7.2918 9.6812 4.4391
Y -5.5505 7.7503 8.7021
Y -6.2570 6.4723 5.4874
Y -6.5854 10.9592 7.6538
Y -8.8515 7.0178 9.7187
Y -10.5929 8.9487 5.4557
Tm -6.8081 4.4315 8.3588
Tm -9.3353 12.2675 5.7990
Tm -8.9342 6.7891 3.1538
Tm -7.2091 9.9099 11.0040
Tm -12.1022 7.4552 8.3201
Tm -4.0412 9.2439 5.8376
```

Results
For the formation energy from the elements, the calculation gives 0.19 eV/atom.